This record from Alexandria via LeMat-Bulk describes a geometry-optimized NaVIO6 structure. The functional is PBE+U.

Magnetic moment in μB/cell: 1.00
Energy in eV per formula unit: -50.51
Symmetry: P312

```
data_NaVIO6
_chemical_formula_sum 'Na1 V1 I1 O6'
_symmetry_space_group_name_H-M 'P 1'
_symmetry_Int_Tables_number 1
_cell_length_a 5.181
_cell_length_b 5.181
_cell_length_c 5.257
_cell_angle_alpha 90.00
_cell_angle_beta 90.00
_cell_angle_gamma 60.00
loop_
_symmetry_equiv_pos_as_xyz
'x,y,z'
loop_
_atom_site_label
_atom_site_type_symbol
_atom_site_fract_x
_atom_site_fract_y
_atom_site_fract_z
O1 O 0.382 0.007 0.706
O2 O 0.007 0.611 0.706
V1 V 0.667 0.667 0.500
O3 O 0.611 0.382 0.706
O4 O 0.382 0.611 0.294
Na1 Na 0.000 0.000 0.000
I1 I 0.333 0.333 0.500
O5 O 0.611 0.007 0.294
O6 O 0.007 0.382 0.294
```



This record from Alexandria via LeMat-Bulk describes a geometry-optimized NaVIO2 structure. The functional is PBE+U.

Fermi-level density of states in states/eV/cell: 8.1
Magnetic moment in μB/cell: 3.32
Energy in eV per formula unit: -17.19
Symmetry: P4/mmm

```
data_NaVIO2
_chemical_formula_sum 'Na1 V1 I1 O2'
_symmetry_space_group_name_H-M 'P 1'
_symmetry_Int_Tables_number 1
_cell_length_a 4.250
_cell_length_b 4.250
_cell_length_c 5.535
_cell_angle_alpha 90.00
_cell_angle_beta 90.00
_cell_angle_gamma 90.00
loop_
_symmetry_equiv_pos_as_xyz
'x,y,z'
loop_
_atom_site_label
_atom_site_type_symbol
_atom_site_fract_x
_atom_site_fract_y
_atom_site_fract_z
O1 O 0.500 0.000 0.000
I1 I 0.000 0.000 0.500
O2 O 0.000 0.500 0.000
Na1 Na 0.000 0.000 0.000
V1 V 0.500 0.500 0.500
```



This record from Alexandria via LeMat-Bulk describes a geometry-optimized NaVI2O structure. The functional is PBE+U.

Fermi-level density of states in states/eV/cell: 6.1
Magnetic moment in μB/cell: 2.00
Energy in eV per formula unit: -15.26
Symmetry: P4/mmm

```
data_NaVI2O
_chemical_formula_sum 'Na1 V1 I2 O1'
_symmetry_space_group_name_H-M 'P 1'
_symmetry_Int_Tables_number 1
_cell_length_a 5.740
_cell_length_b 5.740
_cell_length_c 4.214
_cell_angle_alpha 90.00
_cell_angle_beta 90.00
_cell_angle_gamma 90.00
loop_
_symmetry_equiv_pos_as_xyz
'x,y,z'
loop_
_atom_site_label
_atom_site_type_symbol
_atom_site_fract_x
_atom_site_fract_y
_atom_site_fract_z
Na1 Na 0.000 0.000 0.000
V1 V 0.500 0.500 0.500
O1 O 0.000 0.000 0.500
I1 I 0.000 0.500 0.000
I2 I 0.500 0.000 0.000
```



This record from Alexandria via LeMat-Bulk describes a geometry-optimized NaVI2O structure. The functional is PBE+U.

Fermi-level density of states in states/eV/cell: 1.2
Magnetic moment in μB/cell: 2.00
Energy in eV per formula unit: -21.68
Symmetry: P4/mmm

```
data_NaVI2O
_chemical_formula_sum 'Na1 V1 I2 O1'
_symmetry_space_group_name_H-M 'P 1'
_symmetry_Int_Tables_number 1
_cell_length_a 5.841
_cell_length_b 5.841
_cell_length_c 3.776
_cell_angle_alpha 90.00
_cell_angle_beta 90.00
_cell_angle_gamma 90.00
loop_
_symmetry_equiv_pos_as_xyz
'x,y,z'
loop_
_atom_site_label
_atom_site_type_symbol
_atom_site_fract_x
_atom_site_fract_y
_atom_site_fract_z
O1 O 0.000 0.000 0.500
V1 V 0.000 0.000 0.000
I1 I 0.500 0.000 0.000
I2 I 0.000 0.500 0.000
Na1 Na 0.500 0.500 0.500
```



This record from Alexandria via LeMat-Bulk describes a geometry-optimized NaVIO2 structure. The functional is PBE+U.

Fermi-level density of states in states/eV/cell: 1.2
Magnetic moment in μB/cell: 1.00
Energy in eV per formula unit: -25.91
Symmetry: P4/mmm

```
data_NaVIO2
_chemical_formula_sum 'Na1 V1 I1 O2'
_symmetry_space_group_name_H-M 'P 1'
_symmetry_Int_Tables_number 1
_cell_length_a 3.919
_cell_length_b 5.821
_cell_length_c 3.919
_cell_angle_alpha 90.00
_cell_angle_beta 90.00
_cell_angle_gamma 90.00
loop_
_symmetry_equiv_pos_as_xyz
'x,y,z'
loop_
_atom_site_label
_atom_site_type_symbol
_atom_site_fract_x
_atom_site_fract_y
_atom_site_fract_z
V1 V 0.000 0.000 0.000
O1 O 0.500 0.000 0.000
O2 O 0.000 0.000 0.500
I1 I 0.000 0.500 0.000
Na1 Na 0.500 0.500 0.500
```



This record from Alexandria via LeMat-Bulk describes a geometry-optimized NaWI2O structure. The functional is PBE+U.

Fermi-level density of states in states/eV/cell: 1.2
Magnetic moment in μB/cell: 3.00
Energy in eV per formula unit: -20.33
Symmetry: P4/mmm

```
data_NaWI2O
_chemical_formula_sum 'Na1 W1 I2 O1'
_symmetry_space_group_name_H-M 'P 1'
_symmetry_Int_Tables_number 1
_cell_length_a 6.087
_cell_length_b 6.087
_cell_length_c 3.936
_cell_angle_alpha 90.00
_cell_angle_beta 90.00
_cell_angle_gamma 90.00
loop_
_symmetry_equiv_pos_as_xyz
'x,y,z'
loop_
_atom_site_label
_atom_site_type_symbol
_atom_site_fract_x
_atom_site_fract_y
_atom_site_fract_z
W1 W 0.000 0.000 0.000
I1 I 0.500 0.000 0.000
Na1 Na 0.500 0.500 0.500
O1 O 0.000 0.000 0.500
I2 I 0.000 0.500 0.000
```



This record from Alexandria via LeMat-Bulk describes a geometry-optimized NaWI2O structure. The functional is PBE+U.

Fermi-level density of states in states/eV/cell: 10.2
Magnetic moment in μB/cell: 4.20
Energy in eV per formula unit: -13.63
Symmetry: P4/mmm

```
data_NaWI2O
_chemical_formula_sum 'Na1 W1 I2 O1'
_symmetry_space_group_name_H-M 'P 1'
_symmetry_Int_Tables_number 1
_cell_length_a 5.778
_cell_length_b 5.778
_cell_length_c 4.171
_cell_angle_alpha 90.00
_cell_angle_beta 90.00
_cell_angle_gamma 90.00
loop_
_symmetry_equiv_pos_as_xyz
'x,y,z'
loop_
_atom_site_label
_atom_site_type_symbol
_atom_site_fract_x
_atom_site_fract_y
_atom_site_fract_z
W1 W 0.500 0.500 0.500
I1 I 0.500 0.000 0.000
O1 O 0.000 0.000 0.500
Na1 Na 0.000 0.000 0.000
I2 I 0.000 0.500 0.000
```



This record from Alexandria via LeMat-Bulk describes a geometry-optimized NaWIO6 structure. The functional is PBE+U.

Fermi-level density of states in states/eV/cell: 0.0
Magnetic moment in μB/cell: 0.00
Energy in eV per formula unit: -51.13
Symmetry: P-31c

```
data_NaWIO6
_chemical_formula_sum 'Na2 W2 I2 O12'
_symmetry_space_group_name_H-M 'P 1'
_symmetry_Int_Tables_number 1
_cell_length_a 5.446
_cell_length_b 5.446
_cell_length_c 10.360
_cell_angle_alpha 90.00
_cell_angle_beta 90.00
_cell_angle_gamma 120.00
loop_
_symmetry_equiv_pos_as_xyz
'x,y,z'
loop_
_atom_site_label
_atom_site_type_symbol
_atom_site_fract_x
_atom_site_fract_y
_atom_site_fract_z
I1 I 0.333 0.667 0.250
W1 W 0.667 0.333 0.250
O1 O 0.634 0.018 0.356
O2 O 0.018 0.634 0.856
O3 O 0.634 0.615 0.144
I2 I 0.667 0.333 0.750
O4 O 0.615 0.982 0.856
O5 O 0.018 0.385 0.644
O6 O 0.982 0.615 0.356
O7 O 0.615 0.634 0.644
O8 O 0.385 0.018 0.144
W2 W 0.333 0.667 0.750
Na1 Na 0.000 0.000 0.500
O9 O 0.385 0.366 0.356
Na2 Na 0.000 0.000 0.000
O10 O 0.366 0.385 0.856
O11 O 0.366 0.982 0.644
O12 O 0.982 0.366 0.144
```